Entry 1:
A relaxed Pm3TlSi crystal, computed with PBE.

Properties
distance to the lowest polymorph of the same formula = 218 meV/atom
raw formation energy = -0.20 eV per atom
spin magnetization = 0.000 μB per formula unit

a = 5.5265 Å, b = 5.5265 Å, c = 5.5265 Å
α = 90.00°, β = 90.00°, γ = 90.00°
With the nearest neighbours (Å) after each atom.
Space group Pm-3m (No. 221)
Unique sites:
Pm  0.0000  0.0000  0.5000  2 Si 2.76
Tl  0.5000  0.5000  0.5000  12 Pm 3.91
Si  0.0000  0.0000  0.0000  6 Pm 2.76

=====

Entry 2:
A relaxed PmTmSi crystal, computed with PBE.

Properties
distance to the lowest polymorph of the same formula = 77 meV/atom
raw formation energy = -0.48 eV per atom
spin magnetization = 0.000 μB per formula unit

a = 13.1196 Å, b = 4.3163 Å, c = 6.3893 Å
α = 90.00°, β = 119.08°, γ = 90.00°
With the nearest neighbours (Å) after each atom.
Space group C2/m (No. 12)
Unique sites:
Pm  0.2067  0.0000  0.2064  2 Si 2.97
Tm  0.0000  0.5000  0.2581  4 Si 2.97, 2 Tm 3.09-3.30
Si  0.1156  0.0000  0.6152  1 Si 2.65, 4 Tm 2.97

=====

Entry 3:
A relaxed Pm2Tm3Si4 crystal, computed with PBE.

Properties
raw formation energy = -0.77 eV per atom
spin magnetization = 0.000 μB per formula unit

a = 7.6656 Å, b = 7.7122 Å, c = 7.3966 Å
α = 90.00°, β = 107.28°, γ = 90.00°
With the nearest neighbours (Å) after each atom.
Space group P2_1/c (No. 14)
Unique sites:
Pm  0.1966  0.1766  0.0804  6 Si 3.05-3.25
Tm  0.2458  0.6799  0.2520  6 Si 2.84-2.95
Tm  0.5000  0.0000  0.5000  6 Si 2.94-3.10
Si  0.0783  0.5323  0.8738  1 Si 2.55, 1 Tm 2.84
Si  0.4927  0.1197  0.8751  1 Si 2.59, 1 Tm 2.90

=====

Entry 4:
A relaxed Pm3TmSi3 crystal, computed with PBE.

Properties
raw formation energy = -0.40 eV per atom
spin magnetization = 0.000 μB per formula unit

a = 8.2585 Å, b = 12.5049 Å, c = 7.4755 Å
α = 90.00°, β = 91.53°, γ = 90.00°
With the nearest neighbours (Å) after each atom.
Space group C2/m (No. 12)
Unique sites:
Pm  0.0000  0.1613  0.0000  6 Si 2.89-3.10
Pm  0.0000  0.2259  0.5000  4 Si 3.01-3.28
Pm  0.1270  0.5000  0.8593  1 Si 2.82, 1 Pm 3.01
Tm  0.2445  0.5000  0.3978  4 Si 2.70-2.78
Si  0.0633  0.0000  0.2913  2 Tm 2.77-2.78, 3 Pm 2.82-3.00
Si  0.1735  0.3270  0.1948  1 Tm 2.70, 2 Pm 2.89-3.01

=====

Entry 5:
A relaxed Pm12TmSi7 crystal, computed with PBE.

Properties
raw formation energy = -0.32 eV per atom
spin magnetization = 0.000 μB per formula unit

a = 15.4548 Å, b = 15.4548 Å, c = 8.5354 Å
α = 90.00°, β = 90.00°, γ = 120.00°
With the nearest neighbours (Å) after each atom.
Space group R-3 (No. 148, hexagonal axes)
Unique sites:
Pm  0.0482  0.6170  0.1539  3 Si 2.86-2.97
Pm  0.0674  0.1949  0.8649  3 Si 2.89-2.92
Tm  0.0000  0.0000  0.5000  6 Si 3.08
Si  0.0000  0.0000  0.0000  6 Pm 2.89
Si  0.0627  0.1842  0.2913  5 Pm 2.86-2.97, 1 Tm 3.08

=====

Entry 6:
A relaxed Pm5TmSi3 crystal, computed with PBE.

Properties
raw formation energy = -0.28 eV per atom
spin magnetization = 0.002 μB per formula unit

a = 12.2944 Å, b = 9.3907 Å, c = 10.4386 Å
α = 90.00°, β = 108.10°, γ = 90.00°
With the nearest neighbours (Å) after each atom.
Space group C2/m (No. 12)
Unique sites:
Pm  0.0000  0.1947  0.0000  3 Si 2.87-2.94
Pm  0.0225  0.0000  0.3296  3 Si 2.92-3.26
Pm  0.1867  0.3089  0.6289  3 Si 2.89-2.97
Pm  0.2459  0.5000  0.0826  2 Si 2.88-2.95
Tm  0.0528  0.5000  0.2725  3 Si 2.65-2.84
Si  0.0000  0.5000  0.0000  2 Tm 2.71, 4 Pm 2.87-2.88
Si  0.0000  0.5000  0.5000  2 Tm 2.65, 4 Pm 2.89
Si  0.1785  0.0000  0.1595  6 Pm 2.93-2.99
Si  0.2101  0.0000  0.5833  1 Tm 2.84, 3 Pm 2.92-2.97

=====

Entry 7:
A relaxed PmTm2Si6 crystal, computed with PBE.

Properties
raw formation energy = -0.50 eV per atom
spin magnetization = 0.000 μB per formula unit

a = 7.1008 Å, b = 7.1008 Å, c = 3.9350 Å
α = 90.00°, β = 90.00°, γ = 120.00°
With the nearest neighbours (Å) after each atom.
Space group P6/mmm (No. 191)
Unique sites:
Pm  0.0000  0.0000  0.0000  12 Si 3.09
Tm  0.3333  0.6667  0.0000  12 Si 3.07
Si  0.0000  0.3362  0.5000  3 Si 2.33-2.39

=====

Entry 8:
A relaxed PmTm3Si4 crystal, computed with PBE.

Properties
raw formation energy = -0.50 eV per atom
spin magnetization = 0.000 μB per formula unit

a = 3.8208 Å, b = 6.3168 Å, c = 15.6752 Å
α = 90.00°, β = 90.00°, γ = 90.00°
With the nearest neighbours (Å) after each atom.
Space group Immm (No. 71)
Unique sites:
Pm  0.0000  0.0000  0.0000  4 Si 2.89
Tm  0.0000  0.0000  0.5000  8 Si 3.06
Tm  0.0000  0.5000  0.3032  6 Si 2.91-2.94
Si  0.0000  0.3159  0.1333  1 Si 2.33

=====

Entry 9:
A relaxed Pm5TmSi4 crystal, computed with PBE.

Properties
raw formation energy = -0.50 eV per atom
spin magnetization = 0.000 μB per formula unit

a = 15.5150 Å, b = 5.0028 Å, c = 6.8983 Å
α = 90.00°, β = 90.87°, γ = 90.00°
With the nearest neighbours (Å) after each atom.
Space group C2/m (No. 12)
Unique sites:
Pm  0.0000  0.0000  0.0000  6 Si 3.09-3.24, 2 Tm 3.45
Pm  0.1640  0.5000  0.9990  5 Si 3.02-3.20
Pm  0.1658  0.5000  0.5076  5 Si 2.96-3.15
Tm  0.0000  0.0000  0.5000  6 Si 3.00-3.19
Si  0.0080  0.5000  0.2618  6 Pm 2.96-3.20, 2 Tm 3.00, 1 Si 3.30
Si  0.1748  0.0000  0.7491  7 Pm 3.01-3.24, 1 Tm 3.19

=====

Entry 10:
A relaxed PmTm2Si crystal, computed with PBE.

Properties
distance to the lowest polymorph of the same formula = 238 meV/atom
raw formation energy = 0.00 eV per atom
spin magnetization = 0.000 μB per formula unit

a = 4.7569 Å, b = 4.7569 Å, c = 16.6067 Å
α = 90.00°, β = 90.00°, γ = 120.00°
With the nearest neighbours (Å) after each atom.
Space group R-3m (No. 166, hexagonal axes)
Unique sites:
Pm  0.0000  0.0000  0.0000  6 Tm 3.30
Tm  0.0000  0.0000  0.2235  3 Si 2.90
Si  0.0000  0.0000  0.5000  6 Tm 2.90

=====

Entry 11:
A relaxed PmTmSi crystal, computed with PBE.

Properties
distance to the lowest polymorph of the same formula = 109 meV/atom
raw formation energy = -0.44 eV per atom
spin magnetization = 0.000 μB per formula unit

a = 6.9014 Å, b = 6.9014 Å, c = 6.9014 Å
α = 90.00°, β = 90.00°, γ = 90.00°
With the nearest neighbours (Å) after each atom.
Space group F-43m (No. 216)
Unique sites:
Pm  0.0000  0.0000  0.0000  4 Si 2.99
Tm  0.0000  0.0000  0.5000  4 Si 2.99
Si  0.2500  0.2500  0.2500  4 Pm 2.99, 4 Tm 2.99

=====

Entry 12:
A relaxed PmTm2Si crystal, computed with PBE.

Properties
distance to the lowest polymorph of the same formula = 0 meV/atom
raw formation energy = -0.24 eV per atom
spin magnetization = 0.001 μB per formula unit

a = 4.6393 Å, b = 4.6393 Å, c = 4.6285 Å
α = 90.00°, β = 90.00°, γ = 90.00°
With the nearest neighbours (Å) after each atom.
Space group P4/mmm (No. 123)
Unique sites:
Pm  0.0000  0.0000  0.0000  8 Tm 3.28, 4 Si 3.28
Tm  0.0000  0.5000  0.5000  4 Pm 3.28, 4 Si 3.28, 4 Tm 3.28
Si  0.5000  0.5000  0.0000  8 Tm 3.28, 4 Pm 3.28

=====

Entry 13:
A relaxed PmTmSi4 crystal, computed with PBE.

Properties
distance to the lowest polymorph of the same formula = 0 meV/atom
raw formation energy = -0.44 eV per atom
spin magnetization = 0.000 μB per formula unit

a = 8.2689 Å, b = 14.5827 Å, c = 4.0644 Å
α = 90.00°, β = 90.00°, γ = 90.00°
With the nearest neighbours (Å) after each atom.
Space group Pbam (No. 55)
Unique sites:
Pm  0.1140  0.1367  0.0000  10 Si 3.14-3.34
Tm  0.1405  0.4127  0.0000  10 Si 2.84-3.00
Si  0.0264  0.2935  0.5000  3 Si 2.29-2.47
Si  0.1212  0.5592  0.5000  3 Si 2.47-2.65
Si  0.1273  0.9649  0.5000  3 Si 2.34-2.49
Si  0.1895  0.8047  0.5000  3 Si 2.29-2.39

=====

Entry 14:
A relaxed Pm4TmSi4 crystal, computed with PBE.

Properties
raw formation energy = -0.49 eV per atom
spin magnetization = 0.000 μB per formula unit

a = 8.8978 Å, b = 8.8978 Å, c = 6.0189 Å
α = 90.00°, β = 90.00°, γ = 90.00°
With the nearest neighbours (Å) after each atom.
Space group P4_2/n (No. 86, origin choice 2)
Unique sites:
Pm  0.0563  0.6703  0.1131  5 Si 2.92-3.23
Tm  0.2500  0.2500  0.2500  4 Si 2.73
Si  0.0082  0.6194  0.6014  1 Si 2.45, 1 Tm 2.73

=====

Entry 15:
A relaxed PmTmSi crystal, computed with PBE.

Properties
distance to the lowest polymorph of the same formula = 34 meV/atom
raw formation energy = -0.52 eV per atom
spin magnetization = 0.004 μB per formula unit

a = 11.4717 Å, b = 4.2321 Å, c = 8.1223 Å
α = 90.00°, β = 126.95°, γ = 90.00°
With the nearest neighbours (Å) after each atom.
Space group C2/m (No. 12)
Unique sites:
Pm  0.0850  0.0000  0.3580  4 Si 3.08-3.11
Tm  0.1779  0.5000  0.0777  3 Si 2.89-3.03
Si  0.1226  0.5000  0.6630  1 Si 2.44

=====

Entry 16:
A relaxed PmTmSi4 crystal, computed with PBE.

Properties
distance to the lowest polymorph of the same formula = 156 meV/atom
raw formation energy = -0.29 eV per atom
spin magnetization = 0.000 μB per formula unit

a = 7.5664 Å, b = 7.5664 Å, c = 7.5664 Å
α = 90.00°, β = 90.00°, γ = 90.00°
With the nearest neighbours (Å) after each atom.
Space group F-43m (No. 216)
Unique sites:
Pm  0.0000  0.0000  0.0000  12 Si 3.14, 4 Tm 3.28
Tm  0.2500  0.2500  0.2500  12 Si 3.13, 4 Pm 3.28
Si  0.1235  0.1235  0.6235  6 Si 2.64-2.71

=====

Entry 17:
A relaxed PmTmSi crystal, computed with PBE.

Properties
distance to the lowest polymorph of the same formula = 235 meV/atom
raw formation energy = -0.32 eV per atom
spin magnetization = 0.000 μB per formula unit

a = 4.6685 Å, b = 4.6685 Å, c = 4.2107 Å
α = 90.00°, β = 90.00°, γ = 120.00°
With the nearest neighbours (Å) after each atom.
Space group P3m1 (No. 156)
Unique sites:
Pm  0.0000  0.0000  0.0000  3 Si 3.12, 6 Tm 3.36-3.49
Tm  0.3333  0.6667  0.4746  3 Si 2.77
Si  0.6667  0.3333  0.6263  3 Tm 2.77

=====

Entry 18:
A relaxed PmTmSi crystal, computed with PBE.

Properties
distance to the lowest polymorph of the same formula = 0 meV/atom
raw formation energy = -0.55 eV per atom
spin magnetization = 0.603 μB per formula unit

a = 7.8788 Å, b = 7.8788 Å, c = 4.2545 Å
α = 90.00°, β = 90.00°, γ = 120.00°
With the nearest neighbours (Å) after each atom.
Space group P-62m (No. 189)
Unique sites:
Pm  0.0000  0.5963  0.0000  5 Si 3.18-3.21, 6 Tm 3.40-3.51
Tm  0.0000  0.2601  0.5000  4 Si 2.95-2.96
Si  0.0000  0.0000  0.0000  6 Tm 2.95, 3 Pm 3.18
Si  0.3333  0.6667  0.5000  3 Tm 2.96, 6 Pm 3.21

=====

Entry 19:
A relaxed Pm12TmSi6 crystal, computed with PBE.

Properties
raw formation energy = -0.29 eV per atom
spin magnetization = 0.002 μB per formula unit

a = 13.5787 Å, b = 13.5787 Å, c = 10.7651 Å
α = 90.00°, β = 90.00°, γ = 120.00°
With the nearest neighbours (Å) after each atom.
Space group R-3m (No. 166, hexagonal axes)
Unique sites:
Pm  0.0000  0.3770  0.0000  4 Si 2.93-3.05
Pm  0.0879  0.1759  0.8512  3 Si 3.02-3.08
Tm  0.0000  0.0000  0.5000  18 Pm 4.31-4.62, 6 Si 4.42
Si  0.0373  0.5187  0.7663  7 Pm 2.93-3.08

=====

Entry 20:
A relaxed Pm8TmSi6 crystal, computed with PBE.

Properties
raw formation energy = -0.51 eV per atom
spin magnetization = 0.000 μB per formula unit

a = 8.7257 Å, b = 8.7257 Å, c = 18.5907 Å
α = 90.00°, β = 90.00°, γ = 120.00°
With the nearest neighbours (Å) after each atom.
Space group R-3 (No. 148, hexagonal axes)
Unique sites:
Pm  0.0000  0.0000  0.1661  6 Si 3.18-3.19, 6 Pm 3.48-3.49
Pm  0.0008  0.3358  0.3961  5 Si 2.97-3.18
Tm  0.0000  0.0000  0.5000  6 Si 3.12
Si  0.0002  0.3277  0.5669  7 Pm 2.97-3.19, 1 Tm 3.12

=====

Entry 21:
A relaxed PmUSi crystal, computed with PBE.

Properties
raw formation energy = -0.28 eV per atom
spin magnetization = 0.000 μB per formula unit

a = 3.5189 Å, b = 22.8362 Å, c = 3.5403 Å
α = 90.00°, β = 90.00°, γ = 90.00°
With the nearest neighbours (Å) after each atom.
Space group Cmcm (No. 63)
Unique sites:
Pm  0.0000  0.0744  0.2500  4 Si 3.06
U  0.0000  0.2262  0.2500  4 U 2.72, 5 Si 2.78-3.02
Si  0.0000  0.3479  0.2500  5 U 2.78-3.02, 4 Pm 3.06

=====

Entry 22:
A relaxed PmU2Si6 crystal, computed with PBE.

Properties
raw formation energy = -0.40 eV per atom
spin magnetization = 3.255 μB per formula unit

a = 7.0152 Å, b = 7.0152 Å, c = 3.9096 Å
α = 90.00°, β = 90.00°, γ = 120.00°
With the nearest neighbours (Å) after each atom.
Space group P6/mmm (No. 191)
Unique sites:
Pm  0.0000  0.0000  0.0000  12 Si 3.07
U  0.3333  0.6667  0.0000  12 Si 3.04
Si  0.0000  0.3366  0.5000  3 Si 2.29-2.36